Entry 1:
## K2CuTe2Au (PBE)

Data for a relaxed K2CuTe2Au crystal.

Cell: 4.650 4.650 10.001 Å, 90.00 90.00 120.00°
Atoms (fractional coordinates):
Te  0.667  0.333  0.499
Cu  0.667  0.333  0.001
K  0.333  0.667  0.750
K  0.333  0.667  0.249
Au  0.000  0.000  0.501
Te  0.000  0.000  0.999

Space group = P3m1 (156)

Entry 2:
## K2CuTe2Au (PBE)

Data for a relaxed K2CuTe2Au crystal.

Cell: 4.645 4.645 10.019 Å, 90.00 90.00 120.00°
Atoms (fractional coordinates):
K  0.333  0.667  0.251
Cu  0.667  0.333  0.500
Te  0.000  0.000  0.500
K  0.333  0.667  0.749
Te  0.667  0.333  0.000
Au  0.000  0.000  0.000

Space group = P-6m2 (187)

Entry 3:
## La2CuAu3 (PBE)

Data for a relaxed La2CuAu3 crystal.

Cell: 3.781 4.676 8.109 Å, 90.00 90.00 90.00°
Atoms (fractional coordinates):
La  0.500  0.000  0.500
Cu  0.000  0.500  0.326
Au  0.000  0.000  0.839
Au  0.000  0.000  0.185
Au  0.000  0.500  0.647
La  0.500  0.500  0.003

Space group = Pmm2 (25)
Energy relative to the elements = -0.704 eV per atom
Spin magnetization = 0.007 μB per formula unit

Entry 4:
## LaLuCuAu (PBE)

Data for a relaxed LaLuCuAu crystal.

Cell: 5.102 5.102 5.102 Å, 60.00 60.00 60.00°
Atoms (fractional coordinates):
La  0.500  0.500  0.500
Lu  0.000  0.000  0.000
Au  0.750  0.750  0.750
Cu  0.250  0.250  0.250

Space group = F-43m (216)
Energy above the lowest structure with this stoichiometry = 0.000 eV/atom
Energy relative to the elements = -0.494 eV per atom
Spin magnetization = 0.000 μB per formula unit

Entry 5:
## LaLuCuAu (PBE)

Data for a relaxed LaLuCuAu crystal.

Cell: 4.906 4.906 4.906 Å, 60.00 60.00 60.00°
Atoms (fractional coordinates):
Cu  0.500  0.500  0.500
La  0.250  0.250  0.250
Au  0.750  0.750  0.750
Lu  0.000  0.000  0.000

Space group = F-43m (216)
Energy above the lowest structure with this stoichiometry = 0.199 eV/atom
Energy relative to the elements = -0.295 eV per atom
Spin magnetization = 0.000 μB per formula unit

Entry 6:
## LaNd2Cu2Si4Au2 (PBE)

Data for a relaxed LaNd2Cu2Si4Au2 crystal.

Cell: 12.601 12.601 12.601 Å, 160.79 160.41 27.57°
Atoms (fractional coordinates):
Cu  0.594  0.094  0.500
Si  0.688  0.188  0.500
Cu  0.406  0.906  0.500
Au  0.750  0.750  0.000
La  0.000  0.000  0.000
Si  0.312  0.812  0.500
Si  0.451  0.451  0.000
Nd  0.146  0.646  0.500
Si  0.549  0.549  0.000
Nd  0.854  0.354  0.500
Au  0.250  0.250  0.000

Space group = Immm (71)
Spin magnetization = 0.000 μB per formula unit

Number 1: VASP energy -19.22 eV for the cell shown. Number 2: VASP energy -19.22 eV for the cell shown. Number 3: VASP energy -27.59 eV for the cell shown. Number 4: VASP energy -18.41 eV for the cell shown. Number 5: VASP energy -17.61 eV for the cell shown. Number 6: VASP energy -57.23 eV for the cell shown.